# 1
An optimized crystal structure of Zr4NpN6, computed with PBE.

The uncorrected formation energy is -1502 meV per atom. As for the crystal system: orthorhombic. As for the calculated total energy: -10.33 eV/atom.

The space group is Cmcm (No. 63) and the conventional cell measures 3.237, 10.799 and 16.120 Å, with angles of 90.00, 90.00 and 90.00 degrees. The distinct sites, in fractional coordinates, are Zr at (0.000, 0.098, 0.134), Zr at (0.000, 0.364, 0.047), Np at (0.000, 0.158, 0.750), N at (0.000, 0.000, 0.000), N at (0.000, 0.198, 0.250), N at (0.000, 0.270, 0.587) and N at (0.000, 0.461, 0.165).

---

# 2
An optimized crystal structure of OsNO2, computed with PBE.

The uncorrected formation energy is 1122 meV per atom. As for the crystal system: tetragonal. As for the calculated total energy: -6.25 eV/atom.

The space group is I-42d (No. 122) and the conventional cell measures 3.486, 3.486 and 12.908 Å, with angles of 90.00, 90.00 and 90.00 degrees. The distinct sites, in fractional coordinates, are Os at (0.000, 0.000, 0.000), N at (0.000, 0.000, 0.500) and O at (0.209, 0.250, 0.125).

---

# 3
An optimized crystal structure of OsN2O2, computed with PBE.

The uncorrected formation energy is 2312 meV per atom. As for the crystal system: tetragonal. As for the energy above the most stable polymorph in this dataset: 1.3475 eV per atom. As for the calculated total energy: -5.25 eV/atom.

The space group is P4/mmm (No. 123) and the conventional cell measures 3.557, 3.557 and 3.394 Å, with angles of 90.00, 90.00 and 90.00 degrees. The distinct sites, in fractional coordinates, are Os at (0.000, 0.000, 0.000), N at (0.000, 0.500, 0.500), O at (0.500, 0.500, 0.000) and O at (0.500, 0.500, 0.500).

---

# 4
An optimized crystal structure of Os2N4O, computed with PBE.

The uncorrected formation energy is 1823 meV per atom. As for the crystal system: tetragonal. As for the calculated total energy: -6.85 eV/atom.

The space group is I4/mmm (No. 139) and the conventional cell measures 3.633, 3.633 and 15.890 Å, with angles of 90.00, 90.00 and 90.00 degrees. The distinct sites, in fractional coordinates, are Os at (0.000, 0.000, 0.086), N at (0.000, 0.000, 0.190), N at (0.000, 0.500, 0.000) and O at (0.000, 0.000, 0.500).